Here is an optimized crystal structure of CrSiPbO6 from the Alexandria database. Energies are from GGA+U.

Summary:
Spin magnetization: 2.0 Bohr magnetons per cell
Space group: C2 (5)
Raw total energy: -61.297 eV per formula unit
Mass density: 6.54 g cm⁻³

a = 4.9246 Å, b = 4.9246 Å, c = 4.6036 Å
α = 90.54°, β = 90.54°, γ = 119.32°
Sites, in units of the cell vectors:
Cr 0.0000 0.0000 0.0000
Si 0.3408 0.6592 0.0000
Pb 0.6685 0.3315 0.5000
O 0.0491 0.6837 0.7852
O 0.0518 0.3431 0.2173
O 0.3126 0.3477 0.7778
O 0.3163 0.9509 0.2148
O 0.6523 0.6874 0.2222
O 0.6569 0.9482 0.7827